Record 1
URhS4 | GGA-PBE | optimized geometry

POSCAR file:
```
URhS4
1.0
-3.544 -1.027 -0.797
1.374 -0.414 -5.578
1.177 -6.128 2.666
Rh S U
1 4 1
direct
0.000 0.500 0.500
0.000 0.756 0.267
0.500 0.304 0.287
0.000 0.244 0.733
0.500 0.696 0.713
0.500 0.000 0.500
```

Computed properties:
The space group is No. 10. The total magnetization comes out at 1.01 μB per cell. The calculation puts the total DFT energy (no corrections) at -0.4996 Ry per atom. For the formation energy from raw total energies, the calculation gives -939.4 meV/atom. The value obtained for the calculated density is 5.5 g/cm³.



Record 2
URhS | GGA-PBE | optimized geometry

POSCAR file:
```
URhS
1.0
-3.365 -3.359 1.254
6.533 -2.165 2.090
-7.094 6.785 -0.858
Rh U S
2 2 2
direct
0.300 0.599 0.349
0.700 0.401 0.651
0.062 0.124 0.374
0.938 0.876 0.626
0.604 0.208 0.958
0.396 0.792 0.042
```

Computed properties:
The space group is No. 63. The total magnetization comes out at 2.11 μB per cell. The calculation puts the total DFT energy (no corrections) at -0.6208 Ry per atom. For the formation energy from raw total energies, the calculation gives -857.6 meV/atom. The value obtained for the calculated density is 11.4 g/cm³.



Record 3
V3RhS4 | GGA-PBE | optimized geometry

POSCAR file:
```
V3RhS4
1.0
-6.005 -1.365 -0.170
1.266 -5.094 -3.781
0.685 -3.655 5.153
S V Rh
8 6 2
direct
0.590 0.602 0.743
0.590 0.602 0.257
0.090 0.398 0.243
0.658 0.188 0.000
0.158 0.812 0.500
0.203 0.812 0.000
0.090 0.398 0.757
0.703 0.188 0.500
0.928 0.734 0.769
0.928 0.734 0.231
0.590 0.845 0.000
0.428 0.266 0.731
0.090 0.155 0.500
0.428 0.266 0.269
0.529 0.877 0.500
0.029 0.123 0.000
```

Computed properties:
The space group is No. 31. The total magnetization comes out at 0.00 μB per cell. The calculation puts the total DFT energy (no corrections) at -0.5168 Ry per atom. For the formation energy from raw total energies, the calculation gives -629.0 meV/atom. The value obtained for the calculated density is 5.0 g/cm³.



Record 4
V2RhS4 | GGA-PBE | optimized geometry

POSCAR file:
```
V2RhS4
1.0
4.748 0.000 0.000
0.000 4.748 0.000
2.374 2.374 5.786
V Rh S
2 1 4
direct
0.613 0.613 0.774
0.387 0.387 0.226
0.000 0.000 0.000
0.204 0.204 0.592
0.796 0.796 0.408
0.500 0.000 0.000
0.000 0.500 0.000
```

Computed properties:
The space group is No. 139. The total magnetization comes out at 3.75 μB per cell. The calculation puts the total DFT energy (no corrections) at -0.4460 Ry per atom. For the formation energy from raw total energies, the calculation gives -53.8 meV/atom. The value obtained for the calculated density is 4.2 g/cm³.



Record 5
YVRhS2 | GGA-PBE | optimized geometry

POSCAR file:
```
YVRhS2
1.0
5.070 0.000 0.000
0.000 5.442 0.000
0.000 0.000 5.070
Y Rh S V
1 1 2 1
direct
0.000 0.000 0.000
0.500 0.500 0.500
0.000 0.000 0.500
0.500 0.000 0.000
0.000 0.500 0.000
```

Computed properties:
The space group is No. 123. The total magnetization comes out at 5.20 μB per cell. The calculation puts the total DFT energy (no corrections) at -0.3860 Ry per atom. For the formation energy from raw total energies, the calculation gives 986.5 meV/atom. The value obtained for the calculated density is 3.6 g/cm³.



Record 6
RhW3S | GGA-PBE | optimized geometry

POSCAR file:
```
RhW3S
1.0
-4.010 0.373 2.465
2.299 -1.256 3.929
0.966 4.537 0.885
S Rh W
1 1 3
direct
0.500 0.500 0.500
0.000 0.000 0.000
0.500 0.000 0.000
0.000 0.000 0.500
0.000 0.500 0.000
```

Computed properties:
The space group is No. 221. The total magnetization comes out at 0.00 μB per cell. The calculation puts the total DFT energy (no corrections) at -0.5752 Ry per atom. For the formation energy from raw total energies, the calculation gives 2241.7 meV/atom. The value obtained for the calculated density is 10.8 g/cm³.



Record 7
RhW2S2 | GGA-PBE | optimized geometry

POSCAR file:
```
RhW2S2
1.0
-3.544 -2.345 -0.064
1.877 -2.765 -2.626
0.584 -4.788 2.020
S Rh W
2 1 2
direct
0.368 0.368 0.263
0.632 0.632 0.737
0.000 0.000 0.000
0.750 0.250 0.500
0.250 0.750 0.500
```

Computed properties:
The space group is No. 139. The total magnetization comes out at 0.00 μB per cell. The calculation puts the total DFT energy (no corrections) at -0.5928 Ry per atom. For the formation energy from raw total energies, the calculation gives 236.6 meV/atom. The value obtained for the calculated density is 11.5 g/cm³.



Record 8
RhW3S | GGA-PBE | optimized geometry

POSCAR file:
```
RhW3S
1.0
-1.832 -3.721 -1.408
2.722 -0.042 -3.430
2.901 -2.310 2.330
Rh S W
1 1 3
direct
0.500 0.500 0.500
0.000 0.000 0.000
0.000 0.000 0.500
0.000 0.500 0.000
0.500 0.000 0.000
```

Computed properties:
The space group is No. 221. The total magnetization comes out at 0.00 μB per cell. The calculation puts the total DFT energy (no corrections) at -0.6731 Ry per atom. For the formation energy from raw total energies, the calculation gives 910.2 meV/atom. The value obtained for the calculated density is 13.6 g/cm³.



Record 9
RhWS | GGA-PBE | optimized geometry

POSCAR file:
```
RhWS
1.0
-0.230 -2.872 -0.748
1.594 1.856 -1.695
10.004 -2.530 6.638
W Rh S
2 2 2
direct
0.611 0.222 0.500
0.278 0.556 0.000
0.944 0.889 0.667
0.944 0.889 0.333
0.944 0.889 0.864
0.944 0.889 0.136
```

Computed properties:
The space group is No. 187. The total magnetization comes out at 0.00 μB per cell. The calculation puts the total DFT energy (no corrections) at -0.6190 Ry per atom. For the formation energy from raw total energies, the calculation gives -277.9 meV/atom. The value obtained for the calculated density is 11.2 g/cm³.



Record 10
RhW2S2 | GGA-PBE | optimized geometry

POSCAR file:
```
RhW2S2
1.0
6.980 0.000 0.000
0.000 6.980 0.000
0.000 0.000 2.905
Rh S W
2 4 4
direct
0.500 0.500 0.000
0.000 0.000 0.000
0.353 0.853 0.000
0.647 0.147 0.000
0.853 0.647 0.000
0.147 0.353 0.000
0.154 0.654 0.500
0.654 0.846 0.500
0.846 0.346 0.500
0.346 0.154 0.500
```

Computed properties:
The space group is No. 127. The total magnetization comes out at 0.00 μB per cell. The calculation puts the total DFT energy (no corrections) at -0.5919 Ry per atom. For the formation energy from raw total energies, the calculation gives 249.1 meV/atom. The value obtained for the calculated density is 12.5 g/cm³.



Record 11
Rh2WS | GGA-PBE | optimized geometry

POSCAR file:
```
Rh2WS
1.0
-1.574 4.642 2.642
1.637 -2.202 4.845
4.760 3.216 3.054
S Rh W
2 4 2
direct
0.500 0.500 0.000
0.250 0.750 0.500
0.875 0.855 0.750
0.375 0.395 0.750
0.605 0.125 0.250
0.145 0.625 0.250
0.000 0.000 0.000
0.750 0.250 0.500
```

Computed properties:
The space group is No. 122. The total magnetization comes out at 0.00 μB per cell. The calculation puts the total DFT energy (no corrections) at -0.5555 Ry per atom. For the formation energy from raw total energies, the calculation gives 387.9 meV/atom. The value obtained for the calculated density is 8.7 g/cm³.



Record 12
Y8RhS3 | GGA-PBE | optimized geometry

POSCAR file:
```
Y8RhS3
1.0
-3.697 5.606 3.665
-3.853 -6.105 -2.532
2.073 -5.953 11.197
S Y Rh
6 16 2
direct
0.337 0.168 0.716
0.663 0.832 0.216
0.832 0.663 0.716
0.168 0.337 0.216
0.832 0.168 0.716
0.168 0.832 0.216
0.000 0.000 0.346
0.501 0.001 0.346
0.000 0.000 0.846
0.838 0.162 0.089
0.499 0.999 0.846
0.499 0.501 0.846
0.162 0.324 0.589
0.999 0.499 0.346
0.667 0.333 0.584
0.501 0.499 0.346
0.333 0.667 0.084
0.838 0.676 0.089
0.162 0.838 0.589
0.676 0.838 0.589
0.001 0.501 0.846
0.324 0.162 0.089
0.667 0.333 0.973
0.333 0.667 0.473
```

Computed properties:
The space group is No. 186. The total magnetization comes out at 0.00 μB per cell. The calculation puts the total DFT energy (no corrections) at -0.5169 Ry per atom. For the formation energy from raw total energies, the calculation gives -1079.4 meV/atom. The value obtained for the calculated density is 4.6 g/cm³.